1.
This record from Alexandria via LeMat-Bulk describes a geometry-optimized SrLaZn2 structure. The functional is PBE-GGA.

abc: 7.009 7.009 7.009
angles: 107.73 107.73 113.01
Atoms (fractional coordinates):
Sr 0.000 0.000 0.000
Sr 0.750 0.250 0.500
La 0.250 0.750 0.500
La 0.500 0.500 0.000
Zn 0.139 0.625 0.014
Zn 0.375 0.389 0.514
Zn 0.611 0.125 0.986
Zn 0.875 0.861 0.486

## Properties
Magnetization ... 0.003 μB per formula unit
Density of states at the Fermi level ... 6.1 states/eV/f.u.
VASP energy ... -2.18 eV/atom

---

2.
This record from Alexandria via LeMat-Bulk describes a geometry-optimized K2PbAuCl6 structure. The functional is PBE-GGA.

abc: 7.076 7.389 7.858
angles: 62.90 64.69 89.93
Atoms (fractional coordinates):
K 0.000 0.000 0.000
K 0.479 0.498 0.008
Pb 0.712 0.153 0.548
Au 0.203 0.643 0.563
Cl 0.083 0.397 0.475
Cl 0.334 0.880 0.653
Cl 0.440 0.418 0.658
Cl 0.564 0.920 0.002
Cl 0.861 0.367 0.096
Cl 0.948 0.848 0.483

## Properties
Magnetization ... 0.604 μB per formula unit
Density of states at the Fermi level ... 3.0 states/eV/f.u.
Uncorrected formation energy ... -1.1730 eV per atom
VASP energy ... -3.20 eV/atom

---

3.
This record from Alexandria via LeMat-Bulk describes a geometry-optimized Cs2Rb5Hg4 structure. The functional is PBE-GGA.

abc: 15.256 15.256 9.439
angles: 107.83 107.83 19.75
Atoms (fractional coordinates):
Cs 0.079 0.079 0.081
Cs 0.921 0.921 0.919
Rb 0.000 0.000 0.500
Rb 0.319 0.319 0.088
Rb 0.319 0.319 0.548
Rb 0.681 0.681 0.452
Rb 0.681 0.681 0.912
Hg 0.212 0.212 0.213
Hg 0.499 0.499 0.170
Hg 0.501 0.501 0.830
Hg 0.788 0.788 0.787

## Properties
Magnetization ... 0.000 μB per formula unit
Density of states at the Fermi level ... 6.4 states/eV/f.u.
VASP energy ... -0.83 eV/atom

---

4.
This record from Alexandria via LeMat-Bulk describes a geometry-optimized Tl2PdI8 structure. The functional is PBE-GGA.

abc: 8.628 8.628 9.679
angles: 101.72 101.72 57.08
Atoms (fractional coordinates):
Tl 0.230 0.230 0.323
Tl 0.770 0.770 0.677
Pd 0.000 0.000 0.000
I 0.126 0.665 0.859
I 0.199 0.199 0.596
I 0.335 0.874 0.141
I 0.402 0.402 0.274
I 0.598 0.598 0.726
I 0.665 0.126 0.859
I 0.801 0.801 0.404
I 0.874 0.335 0.141

## Properties
Magnetization ... 0.000 μB per formula unit
Distance to the lowest polymorph of the same formula ... 0.000 eV per formula unit
Uncorrected formation energy ... -0.2355 eV per atom
VASP energy ... -2.27 eV/atom

---

5.
This record from Alexandria via LeMat-Bulk describes a geometry-optimized RbScPb5 structure. The functional is PBE-GGA.

abc: 4.635 4.635 11.407
angles: 90.00 90.00 90.00
Atoms (fractional coordinates):
Rb 0.000 0.000 0.000
Sc 0.500 0.500 0.500
Pb 0.000 0.000 0.500
Pb 0.000 0.500 0.279
Pb 0.000 0.500 0.721
Pb 0.500 0.000 0.279
Pb 0.500 0.000 0.721

## Properties
Magnetization ... 0.000 μB per formula unit
Density of states at the Fermi level ... 3.6 states/eV/f.u.
VASP energy ... -3.83 eV/atom

---

6.
This record from Alexandria via LeMat-Bulk describes a geometry-optimized K2Na2PuO6 structure. The functional is PBE-GGA.

abc: 6.779 6.779 6.779
angles: 57.00 57.00 57.00
Atoms (fractional coordinates):
K 0.207 0.207 0.207
K 0.793 0.793 0.793
Na 0.404 0.404 0.404
Na 0.596 0.596 0.596
Pu 0.000 0.000 0.000
O 0.208 0.789 0.789
O 0.211 0.211 0.792
O 0.211 0.792 0.211
O 0.789 0.208 0.789
O 0.789 0.789 0.208
O 0.792 0.211 0.211

## Properties
Magnetization ... 0.000 μB per formula unit
Uncorrected formation energy ... -1.8341 eV per atom
VASP energy ... -6.28 eV/atom

---

7.
This record from Alexandria via LeMat-Bulk describes a geometry-optimized KCaS2Cl structure. The functional is PBE-GGA.

abc: 5.447 5.447 5.451
angles: 90.00 90.00 90.00
Atoms (fractional coordinates):
K 0.000 0.000 0.000
Ca 0.500 0.500 0.500
S 0.000 0.500 0.500
S 0.500 0.000 0.500
Cl 0.500 0.500 0.000

## Properties
Magnetization ... 2.015 μB per formula unit
Density of states at the Fermi level ... 5.3 states/eV/f.u.
Distance to the lowest polymorph of the same formula ... 0.000 eV per formula unit
Uncorrected formation energy ... -1.0272 eV per atom
VASP energy ... -3.67 eV/atom

---

8.
This record from Alexandria via LeMat-Bulk describes a geometry-optimized TlCdHg5Pb2 structure. The functional is PBE-GGA.

abc: 10.655 10.655 14.445
angles: 90.00 90.00 162.32
Atoms (fractional coordinates):
Tl 0.039 0.961 0.500
Tl 0.961 0.039 0.000
Cd 0.214 0.786 0.143
Cd 0.786 0.214 0.643
Hg 0.028 0.972 0.797
Hg 0.071 0.929 0.145
Hg 0.215 0.785 0.493
Hg 0.215 0.785 0.803
Hg 0.374 0.626 0.160
Hg 0.626 0.374 0.660
Hg 0.785 0.215 0.303
Hg 0.785 0.215 0.993
Hg 0.929 0.071 0.645
Hg 0.972 0.028 0.297
Pb 0.366 0.634 0.830
Pb 0.377 0.623 0.453
Pb 0.623 0.377 0.953
Pb 0.634 0.366 0.330

## Properties
Magnetization ... 0.000 μB per formula unit
Density of states at the Fermi level ... 4.0 states/eV/f.u.
VASP energy ... -1.32 eV/atom

---

9.
This record from Alexandria via LeMat-Bulk describes a geometry-optimized Rb2TeH structure. The functional is PBE-GGA.

abc: 9.148 9.148 9.148
angles: 93.27 93.27 152.36
Atoms (fractional coordinates):
Rb 0.375 0.117 0.242
Rb 0.867 0.625 0.742
Rb 0.875 0.133 0.758
Rb 0.883 0.125 0.258
Te 0.250 0.750 0.500
Te 0.500 0.500 0.000
H 0.000 0.000 0.000
H 0.750 0.250 0.500

## Properties
Magnetization ... 0.000 μB per formula unit
Density of states at the Fermi level ... 1.0 states/eV/f.u.
Distance to the lowest polymorph of the same formula ... 0.000 eV per formula unit
VASP energy ... -2.52 eV/atom

---

10.
This record from Alexandria via LeMat-Bulk describes a geometry-optimized K4Na2Hg2Pd structure. The functional is PBE-GGA.

abc: 8.512 8.512 4.970
angles: 96.23 96.23 77.90
Atoms (fractional coordinates):
K 0.083 0.671 0.797
K 0.329 0.917 0.203
K 0.671 0.083 0.797
K 0.917 0.329 0.203
Na 0.378 0.378 0.280
Na 0.622 0.622 0.720
Hg 0.207 0.207 0.724
Hg 0.793 0.793 0.276
Pd 0.000 0.000 0.500

## Properties
Magnetization ... 0.000 μB per formula unit
Density of states at the Fermi level ... 4.0 states/eV/f.u.
VASP energy ... -1.51 eV/atom

---

11.
This record from Alexandria via LeMat-Bulk describes a geometry-optimized Na2GaBiI6 structure. The functional is PBE-GGA.

abc: 8.702 8.702 8.702
angles: 55.25 55.25 55.25
Atoms (fractional coordinates):
Na 0.000 0.000 0.000
Na 0.491 0.491 0.491
Ga 0.188 0.188 0.188
Bi 0.681 0.681 0.681
I 0.068 0.423 0.786
I 0.290 0.899 0.594
I 0.423 0.786 0.068
I 0.594 0.290 0.899
I 0.786 0.068 0.423
I 0.899 0.594 0.290

## Properties
Magnetization ... 0.000 μB per formula unit
Density of states at the Fermi level ... 0.0 states/eV/f.u.
Uncorrected formation energy ... -0.7427 eV per atom
VASP energy ... -2.63 eV/atom

---

12.
This record from Alexandria via LeMat-Bulk describes a geometry-optimized SrAlTe2P structure. The functional is PBE-GGA.

abc: 5.163 5.163 6.626
angles: 90.00 90.00 90.00
Atoms (fractional coordinates):
Sr 0.000 0.000 0.000
Al 0.000 0.000 0.500
Te 0.000 0.500 0.500
Te 0.500 0.000 0.500
P 0.500 0.500 0.000

## Properties
Magnetization ... 1.917 μB per formula unit
Density of states at the Fermi level ... 3.4 states/eV/f.u.
Uncorrected formation energy ... 0.2947 eV per atom
VASP energy ... -3.13 eV/atom